Here is a geometry-optimized VAsS2O structure from Alexandria. Energies are from PBE+U.

a = 4.340 Å, b = 5.026 Å, c = 4.340 Å
α = 90.00°, β = 90.00°, γ = 90.00°
Positions (direct):
As (0.000, 0.500, 0.000)
S (0.000, 0.000, 0.500)
S (0.500, 0.000, 0.000)
O (0.500, 0.500, 0.500)
V (0.000, 0.000, 0.000)

## Properties
Energy: -21.4 eV/cell
Magnetic moment: 0.00 Bohr magnetons per cell
Density of states at the Fermi level: 1.004 states/eV/atom